# Cr3HRu GGA-PBE relaxed
# - size of the total moment (Bohr magnetons per cell) = 0.0
# - DFT total energy (eV per atom) = -8.159
# - ΔE to the lowest computed polymorph (meV/atom) = 25
data_Cr3HRu
_symmetry_space_group_name_H-M 'C 1 2/m 1'
_symmetry_Int_Tables_number 12
_cell_length_a 8.365
_cell_length_b 3.698
_cell_length_c 7.439
_cell_angle_alpha 90.00
_cell_angle_beta 116.48
_cell_angle_gamma 90.00
loop_
_symmetry_equiv_pos_as_xyz
'x,y,z'
'-x,-y,-z'
'-x,y,-z'
'x,-y,z'
'x+1/2,y+1/2,z'
'-x+1/2,-y+1/2,-z'
'-x+1/2,y+1/2,-z'
'x+1/2,-y+1/2,z'
loop_
_atom_site_label
_atom_site_fract_x
_atom_site_fract_y
_atom_site_fract_z
_atom_site_occupancy
Cr1 0.118 0.000 0.185 1
Cr2 0.128 0.500 0.447 1
Cr3 0.131 0.500 0.934 1
H1 0.113 0.500 0.183 1
Ru1 0.124 0.000 0.688 1